Entry 1:
Density functional theory data (GGA-PBE) for an optimized crystal structure of Ac2CdPd5Au2.

## Properties
Energy relative to the elements = -0.610 eV/atom
E = -4.775 eV/atom

Cell: 10.1299 10.1299 4.1457 Å, 90.00 90.00 90.00°
Closest atoms and distances in Å follow each position.
Space group P4/mbm (No. 127)
Inequivalent atoms, fractional coordinates:
Ac 0.1755 0.3245 0.0000 [4 per cell]  3 Au 2.89-3.07
Cd 0.0000 0.0000 0.0000 [2 per cell]  8 Pd 2.96
Pd 0.0000 0.5000 0.5000 [2 per cell]  4 Au 2.72
Pd 0.0589 0.8004 0.5000 [8 per cell]  2 Au 2.82, 2 Cd 2.96, 3 Pd 2.98-3.10
Au 0.1226 0.6226 0.0000 [4 per cell]  6 Pd 2.72-2.82, 1 Ac 2.89


Entry 2:
Density functional theory data (GGA-PBE) for an optimized crystal structure of SrMg2GaH.

## Properties
E = -2.525 eV/atom

Cell: 4.5352 11.8561 7.8936 Å, 90.00 90.00 90.00°
Closest atoms and distances in Å follow each position.
Space group Cmcm (No. 63)
Inequivalent atoms, fractional coordinates:
Sr 0.0000 0.0564 0.2500 [4 per cell]  4 H 3.08, 1 Ga 3.27
Mg 0.0000 0.3332 0.0594 [8 per cell]  1 H 2.03
Ga 0.0000 0.2196 0.7500 [4 per cell]  6 Mg 2.79
H 0.0000 0.5000 0.0000 [4 per cell]  2 Mg 2.03


Entry 3:
Density functional theory data (GGA-PBE) for an optimized crystal structure of Rb2ZnHBr6.

## Properties
E = -2.395 eV/atom

Cell: 7.1246 7.1246 11.8782 Å, 90.00 90.00 90.00°
Closest atoms and distances in Å follow each position.
Space group I4/mmm (No. 139)
Inequivalent atoms, fractional coordinates:
Rb 0.0000 0.5000 0.2500 [4 per cell]  12 Br 3.60-3.90
Zn 0.0000 0.0000 0.0000 [2 per cell]  2 Br 2.45
H 0.0000 0.0000 0.5000 [2 per cell]  4 Br 2.26
Br 0.0000 0.0000 0.2065 [4 per cell]  1 Zn 2.45
Br 0.2239 0.2239 0.5000 [8 per cell]  1 H 2.26


> Among the records above, which one has the highest E?

Rb2ZnHBr6


> The lowest E belongs to which entry?

Ac2CdPd5Au2